(1)
A plane-wave DFT calculation with PBE was carried out for a relaxed LaHg2Sb2 crystal.

N(E_F), states/eV per cell: 2.590
Raw formation energy, meV/atom: -382

The structure in CIF format:
```
data_LaHg2Sb2
_chemical_formula_sum 'La1 Hg2 Sb2'
_space_group_name_H-M_alt 'P 1'
_space_group_IT_number 1
_cell_length_a 4.305
_cell_length_b 4.305
_cell_length_c 9.177
_cell_angle_alpha 76.43
_cell_angle_beta 76.43
_cell_angle_gamma 90.00
loop_
_space_group_symop_operation_xyz
'x,y,z'
loop_
_atom_site_label
_atom_site_type_symbol
_atom_site_fract_x
_atom_site_fract_y
_atom_site_fract_z
Sb1 Sb 0.417 0.417 0.166
Sb2 Sb 0.583 0.583 0.834
Hg1 Hg 0.750 0.250 0.500
Hg2 Hg 0.250 0.750 0.500
La1 La 0.000 0.000 0.000
```

***

(2)
A plane-wave DFT calculation with PBE was carried out for a relaxed LaHg2Sb2 crystal.

N(E_F), states/eV per cell: 6.054
Raw formation energy, meV/atom: -248

The structure in CIF format:
```
data_LaHg2Sb2
_chemical_formula_sum 'La2 Hg4 Sb4'
_space_group_name_H-M_alt 'P 1'
_space_group_IT_number 1
_cell_length_a 8.296
_cell_length_b 8.296
_cell_length_c 4.135
_cell_angle_alpha 90.00
_cell_angle_beta 90.00
_cell_angle_gamma 90.00
loop_
_space_group_symop_operation_xyz
'x,y,z'
loop_
_atom_site_label
_atom_site_type_symbol
_atom_site_fract_x
_atom_site_fract_y
_atom_site_fract_z
Sb1 Sb 0.369 0.869 0.000
Sb2 Sb 0.869 0.631 0.000
Sb3 Sb 0.631 0.131 0.000
Sb4 Sb 0.131 0.369 0.000
Hg1 Hg 0.165 0.665 0.500
Hg2 Hg 0.665 0.835 0.500
Hg3 Hg 0.835 0.335 0.500
Hg4 Hg 0.335 0.165 0.500
La1 La 0.000 0.000 0.000
La2 La 0.500 0.500 0.000
```

***

What did we get for energy above the lowest structure with this stoichiometry? Answer: 0.49, 1.16 eV per formula unit, in the order shown.